# Er8TlNi2

A geometry-optimized Er8TlNi2 structure (PBE, Alexandria).

Summary:
For the formation energy, the calculation gives -174 kJ/mol of formula units. The density of states at the Fermi level comes out at 13.5 states/eV/f.u.

Structure (POSCAR):
```
Er8TlNi2
1.0
5.280 -0.062 -0.093
-0.959 7.813 -0.194
-0.959 -3.188 7.136
Er Ni Tl
8 2 1
Direct
0.500 0.248 0.752
0.500 0.752 0.248
0.923 0.666 0.924
0.923 0.924 0.666
0.077 0.334 0.076
0.303 0.608 0.608
0.077 0.076 0.334
0.697 0.392 0.392
0.000 0.694 0.306
0.000 0.306 0.694
0.500 0.000 0.000
```